Material: Nd3SbAs
Method: DFT, PBE-GGA
State: relaxed

## Properties
raw formation energy = -1.09 eV per atom
volume = 30.16 Å³/atom
space group = No. 62

Structure (POSCAR):
```
Nd3SbAs
1.0
8.5299 0.0000 0.0000
0.0000 4.3597 0.0000
0.0000 0.0000 16.2186
Nd Sb As
12 4 4
Cartesian
0.1010 1.0899 1.7310
1.2474 1.0899 8.8283
1.4112 3.2698 4.6434
2.8537 1.0899 12.7527
3.0175 3.2698 0.7190
4.1640 3.2698 9.8404
4.3659 1.0899 6.3783
5.5124 1.0899 15.4996
5.6762 3.2698 3.4660
7.1187 1.0899 11.5753
7.2824 3.2698 7.3903
8.4289 3.2698 14.4876
1.0257 3.2698 11.2929
3.2392 1.0899 3.1836
5.2907 3.2698 13.0350
7.5042 1.0899 4.9257
1.7321 1.0899 15.4294
2.5329 3.2698 7.3200
5.9970 1.0899 8.8986
6.7978 3.2698 0.7893
```

---

Material: Nd2SbAs
Method: DFT, PBE-GGA
State: relaxed

## Properties
raw formation energy = -1.34 eV per atom
volume = 30.09 Å³/atom
space group = No. 166

Structure (POSCAR):
```
Nd2SbAs
1.0
2.1928 1.2660 7.2250
-2.1928 1.2660 7.2250
0.0000 -2.5320 7.2250
Nd Sb As
2 1 1
Cartesian
0.0000 0.0000 5.3039
0.0000 0.0000 16.3712
0.0000 0.0000 0.0000
0.0000 0.0000 10.8375
```

---

Material: Nd3SbAs2
Method: DFT, PBE-GGA
State: relaxed

## Properties
raw formation energy = -1.07 eV per atom
volume = 30.47 Å³/atom
space group = No. 2

Structure (POSCAR):
```
Nd3SbAs2
1.0
4.3920 0.0000 0.0000
-2.0988 7.5772 0.0000
-0.9492 -2.6636 10.9869
Nd Sb As
6 2 4
Cartesian
-0.4597 0.6513 4.6292
0.0264 1.8094 0.7949
-0.4148 5.0475 2.8784
1.7588 -0.1339 8.1085
1.3176 3.1042 10.1920
1.8037 4.2624 6.3576
-0.4605 2.1897 7.6170
1.8045 2.7239 3.3699
-0.4047 -1.8849 8.9313
2.1960 0.0000 0.0000
1.7214 -1.3318 5.4934
1.7487 6.7985 2.0556
```

---

Material: Nd8SbAs5
Method: DFT, PBE-GGA
State: relaxed

## Properties
raw formation energy = -1.23 eV per atom
volume = 27.16 Å³/atom
space group = No. 82

Structure (POSCAR):
```
Nd8SbAs5
1.0
-4.5798 4.5798 4.5327
4.5798 -4.5798 4.5327
4.5798 4.5798 -4.5327
Nd Sb As
8 1 5
Cartesian
3.9759 3.0023 -2.8302
3.9715 1.7092 0.5541
0.6040 1.5775 1.7025
2.8707 -0.6083 3.9785
1.7092 5.1882 -0.5541
1.5775 -0.6040 7.3628
0.6083 2.8707 5.0868
3.0023 5.1838 2.8302
0.0000 4.5798 2.2663
1.1855 2.3101 -1.1253
6.8496 1.1855 1.1253
0.0000 0.0000 4.5327
3.3943 2.2697 3.4074
-2.2697 3.3943 5.6579
```

---

Material: Nd3Sb2As
Method: DFT, PBE-GGA
State: relaxed

## Properties
distance to the lowest polymorph of the same formula = 6 meV per atom
raw formation energy = -1.28 eV per atom
volume = 31.00 Å³/atom
space group = No. 71

Structure (POSCAR):
```
Nd3Sb2As
1.0
-2.2122 3.1458 6.6826
2.2122 -3.1458 6.6826
2.2122 3.1458 -6.6826
Nd Sb As
3 2 1
Cartesian
0.0000 0.0000 0.0000
0.0000 0.0000 4.5893
0.0000 0.0000 8.7758
2.2122 0.0000 2.2708
0.0000 3.1458 4.4118
0.0000 3.1458 0.0000
```

---

Material: Nd5Sb2As2
Method: DFT, PBE-GGA
State: relaxed

## Properties
raw formation energy = -1.16 eV per atom
volume = 29.03 Å³/atom
space group = No. 64

Structure (POSCAR):
```
Nd5Sb2As2
1.0
7.8103 -4.0710 0.0000
7.8103 4.0710 0.0000
0.0000 0.0000 8.2170
Nd Sb As
10 4 4
Cartesian
0.0000 0.0000 0.0000
5.7880 2.7618 5.4225
5.7880 1.3092 1.3140
9.8326 2.7618 5.4225
9.8326 1.3092 1.3140
7.8103 0.0000 4.1085
5.7880 -1.3092 6.9030
5.7880 -2.7618 2.7945
9.8326 -1.3092 6.9030
9.8326 -2.7618 2.7945
3.1609 0.0000 0.0000
4.6494 0.0000 4.1085
10.9712 0.0000 4.1085
12.4597 0.0000 0.0000
7.8103 2.8918 2.9274
7.8103 1.1792 7.0360
7.8103 -1.1792 1.1811
7.8103 -2.8918 5.2896
```

---

Material: Nd6SbAs4
Method: DFT, PBE-GGA
State: relaxed

## Properties
raw formation energy = -1.34 eV per atom
volume = 29.55 Å³/atom
space group = No. 63

Structure (POSCAR):
```
Nd6SbAs4
1.0
2.1512 -7.0220 0.0000
2.1512 7.0220 0.0000
0.0000 0.0000 21.5194
Nd Sb As
12 2 8
Cartesian
0.0000 0.0000 0.0000
0.0000 0.0000 10.7597
2.1512 4.5875 16.1396
2.1512 3.1912 1.7689
2.1512 3.1912 8.9908
2.1512 0.5858 14.2170
2.1512 0.5858 18.0621
2.1512 -0.5858 3.4573
2.1512 -0.5858 7.3024
2.1512 -3.1912 12.5287
2.1512 -3.1912 19.7505
2.1512 -4.5875 5.3799
2.1512 4.7467 5.3799
2.1512 -4.7467 16.1396
2.1512 5.7349 13.4722
2.1512 5.7349 18.8069
2.1512 1.9286 11.6597
2.1512 1.9286 20.6194
2.1512 -1.9286 0.9000
2.1512 -1.9286 9.8597
2.1512 -5.7349 2.7125
2.1512 -5.7349 8.0472
```

---

Material: Nd10Sb3As3
Method: DFT, PBE-GGA
State: relaxed

## Properties
raw formation energy = -1.00 eV per atom
volume = 29.05 Å³/atom
space group = No. 189

Structure (POSCAR):
```
Nd10Sb3As3
1.0
9.1336 0.0000 0.0000
-4.5668 7.9099 0.0000
0.0000 0.0000 6.4331
Nd Sb As
10 3 3
Cartesian
-1.1498 1.9916 0.0000
-3.4202 5.9239 3.2166
1.1466 1.9860 3.2166
2.2997 0.0000 0.0000
0.0000 5.2733 1.6457
0.0000 5.2733 4.7875
4.5668 2.6366 1.6457
4.5668 2.6366 4.7875
3.4170 5.9184 0.0000
6.8404 0.0000 3.2166
-2.7937 4.8387 0.0000
1.7731 3.0712 0.0000
5.5873 0.0000 0.0000
-1.7324 3.0007 3.2166
3.4649 0.0000 3.2166
2.8344 4.9093 3.2166
```

---

Material: Nd8SbAs6
Method: DFT, PBE-GGA
State: relaxed

## Properties
raw formation energy = -1.15 eV per atom
volume = 30.00 Å³/atom
space group = No. 147

Structure (POSCAR):
```
Nd8SbAs6
1.0
10.8916 0.0000 0.0000
-5.4458 9.4324 0.0000
0.0000 0.0000 4.3801
Nd Sb As
8 1 6
Cartesian
-1.4636 3.1795 1.0642
-1.9605 9.1102 1.0642
0.0000 6.2883 3.2889
2.0217 2.8573 3.3160
3.4241 6.5751 1.0642
5.4458 3.1441 1.0913
7.4063 0.3222 3.3160
6.9094 6.2529 3.3160
0.0000 0.0000 0.0000
-2.1166 6.1781 1.1196
1.1537 4.5103 1.1196
4.4829 1.2561 3.2605
0.9629 8.1764 1.1196
4.2921 4.9221 3.2605
7.5624 3.2543 3.2605
```

---

Material: Nd4SbAs3
Method: DFT, PBE-GGA
State: relaxed

## Properties
raw formation energy = -1.40 eV per atom
volume = 28.89 Å³/atom
space group = No. 221

Structure (POSCAR):
```
Nd4SbAs3
1.0
6.1372 0.0000 0.0000
0.0000 6.1372 0.0000
0.0000 0.0000 6.1372
Nd Sb As
4 1 3
Cartesian
0.0000 0.0000 0.0000
0.0000 3.0686 3.0686
3.0686 0.0000 3.0686
3.0686 3.0686 0.0000
3.0686 3.0686 3.0686
0.0000 0.0000 3.0686
0.0000 3.0686 0.0000
3.0686 0.0000 0.0000
```

---

Material: NdSbAs2
Method: DFT, PBE-GGA
State: relaxed

## Properties
raw formation energy = -0.55 eV per atom
volume = 23.83 Å³/atom
space group = No. 123

Structure (POSCAR):
```
NdSbAs2
1.0
4.9098 0.0000 0.0000
0.0000 4.9098 0.0000
0.0000 0.0000 3.9546
Nd Sb As
1 1 2
Cartesian
0.0000 0.0000 0.0000
2.4549 2.4549 0.0000
0.0000 2.4549 1.9773
2.4549 0.0000 1.9773
```

---

Material: Nd3Sb2As
Method: DFT, PBE-GGA
State: relaxed

## Properties
distance to the lowest polymorph of the same formula = 0 meV per atom
raw formation energy = -1.28 eV per atom
volume = 30.98 Å³/atom
space group = No. 70

Structure (POSCAR):
```
Nd3Sb2As
1.0
0.0000 6.2845 13.2996
4.4485 0.0000 13.2996
4.4485 6.2845 0.0000
Nd Sb As
12 8 4
Cartesian
3.2843 1.5024 7.6914
5.6801 4.7134 9.9747
3.3885 1.5024 12.2581
5.6127 4.6446 14.3412
7.9044 7.8556 16.6245
5.5086 4.6446 18.9079
3.3885 7.9244 7.6914
0.9927 4.7134 9.9747
3.2843 7.9244 12.2581
5.5086 11.0666 14.3412
3.2170 7.8556 16.6245
5.6127 11.0666 18.9079
3.3364 4.7134 3.3565
3.3364 4.7134 7.8009
5.5607 7.8556 10.0063
3.3364 4.7134 12.1485
5.5607 7.8556 14.4507
3.3364 4.7134 16.5929
5.5607 7.8556 18.7983
5.5607 7.8556 23.2427
1.1121 1.5711 1.1063
1.1121 1.5711 5.5435
7.7849 10.9979 21.0557
7.7849 10.9979 25.4929
```